A relaxed LiDy4Os2 crystal. Source: the Alexandria database, functional GGA-PBE.

Geometry as POSCAR:
```
LiDy4Os2
1.0
4.639 0.000 1.449
2.093 4.140 1.449
-0.045 -0.028 8.294
Li Dy Os
1 4 2
direct
0.000 0.000 0.000
0.872 0.872 0.385
0.128 0.128 0.615
0.621 0.621 0.137
0.379 0.379 0.863
0.748 0.748 0.757
0.252 0.252 0.243
```

Calculated values
Mass density ... 10.79 g/cm³
Energy of formation from the pure elements ... -0.236 eV per atom
Crystal system ... trigonal
Symmetry ... R-3m (166)

***

A relaxed LiPmDyOs crystal. Source: the Alexandria database, functional GGA-PBE.

Geometry as POSCAR:
```
LiPmDyOs
1.0
4.959 0.000 0.000
2.480 4.295 0.000
2.480 1.432 4.049
Pm Os Li Dy
1 1 1 1
direct
0.250 0.250 0.250
0.500 0.500 0.500
0.000 0.000 0.000
0.750 0.750 0.750
```

Calculated values
Mass density ... 9.72 g/cm³
Energy of formation from the pure elements ... -0.169 eV per atom
Crystal system ... cubic
Symmetry ... F-43m (216)

***

A relaxed LiTbDyOs crystal. Source: the Alexandria database, functional GGA-PBE.

Geometry as POSCAR:
```
LiTbDyOs
1.0
-3.814 1.307 -2.793
-4.564 -1.135 1.394
-3.052 3.530 1.512
Tb Li Os Dy
1 1 1 1
direct
0.000 0.000 0.000
0.250 0.250 0.250
0.750 0.750 0.750
0.500 0.500 0.500
```

Calculated values
Mass density ... 10.32 g/cm³
Energy of formation from the pure elements ... -0.227 eV per atom
Crystal system ... cubic
Symmetry ... F-43m (216)